{"formula": "DyTl2Mo3O12", "functional": "GGA+U", "state": "relaxed", "lattice_angstrom": [[3.7490, 2.1645, 6.3131], [-3.7490, 2.1645, 6.3131], [0.0000, -4.3289, 6.3131]], "species": ["Dy", "Tl", "Tl", "Mo", "Mo", "Mo", "O", "O", "O", "O", "O", "O", "O", "O", "O", "O", "O", "O"], "frac_coords": [[0.0000, 0.0000, 0.0000], [0.3341, 0.3341, 0.3341], [0.6659, 0.6659, 0.6659], [0.0000, 0.0000, 0.5000], [0.0000, 0.5000, 0.0000], [0.5000, 0.0000, 0.0000], [0.0623, 0.7027, 0.7027], [0.0780, 0.0780, 0.6425], [0.0780, 0.6425, 0.0780], [0.2973, 0.2973, 0.9377], [0.2973, 0.9377, 0.2973], [0.3575, 0.9220, 0.9220], [0.6425, 0.0780, 0.0780], [0.7027, 0.0623, 0.7027], [0.7027, 0.7027, 0.0623], [0.9220, 0.3575, 0.9220], [0.9220, 0.9220, 0.3575], [0.9377, 0.2973, 0.2973]], "density_g_cm3": 5.68, "total_energy_ha_per_atom": -0.244}